A plane-wave DFT calculation with GGA-PBE was carried out for an optimized crystal structure of SrZr2P.

Cell: 5.812 5.812 5.812 Å, 136.28 136.28 63.54°
Element x y z (fractional)
Zr 0.750 0.250 0.500
P 0.500 0.500 0.000
Sr 0.000 0.000 0.000
Zr 0.250 0.750 0.500

Values from the calculation:
**Space-group type**: No. 139
**DOS at the Fermi energy**: 1.01 states/eV per atom
**ρ**: 5.4 g/cm3
**E_tot**: -5.944 eV/atom
**Energy of formation from the pure elements**: 0.1029 eV per atom

A plane-wave DFT calculation with GGA-PBE was carried out for an optimized crystal structure of SrZrP2.

Cell: 7.169 7.169 6.698 Å, 57.65 57.65 90.00°
Element x y z (fractional)
P 0.875 0.929 0.750
P 0.375 0.321 0.750
Sr 0.500 0.500 0.000
Zr 0.750 0.250 0.500
P 0.071 0.625 0.250
Sr 0.250 0.750 0.500
P 0.679 0.125 0.250
Zr 0.000 0.000 0.000

Values from the calculation:
**Relative energy among the computed polymorphs**: 1.28 eV/f.u.
**Space-group type**: No. 122
**DOS at the Fermi energy**: 0.00 states/eV per atom
**ρ**: 3.6 g/cm3
**E_tot**: -6.151 eV/atom
**Energy of formation from the pure elements**: -0.8890 eV per atom

A plane-wave DFT calculation with GGA-PBE was carried out for an optimized crystal structure of SrZrP2.

Cell: 4.839 4.839 4.839 Å, 60.00 60.00 60.00°
Element x y z (fractional)
Zr 0.250 0.250 0.250
P 0.000 0.000 0.000
Sr 0.500 0.500 0.500
P 0.750 0.750 0.750

Values from the calculation:
**Relative energy among the computed polymorphs**: 5.59 eV/f.u.
**Space-group type**: No. 216
**DOS at the Fermi energy**: 0.62 states/eV per atom
**ρ**: 5.0 g/cm3
**E_tot**: -5.073 eV/atom
**Energy of formation from the pure elements**: 0.1894 eV per atom

A plane-wave DFT calculation with GGA-PBE was carried out for an optimized crystal structure of SrZr2P.

Cell: 6.756 6.756 4.280 Å, 90.00 90.00 146.47°
Element x y z (fractional)
Zr 0.328 0.672 0.500
P 0.208 0.792 0.000
Zr 0.861 0.139 0.000
Sr 0.599 0.401 0.500

Values from the calculation:
**Space-group type**: No. 38
**DOS at the Fermi energy**: 1.19 states/eV per atom
**ρ**: 4.6 g/cm3
**E_tot**: -6.425 eV/atom
**Energy of formation from the pure elements**: -0.3783 eV per atom

A plane-wave DFT calculation with GGA-PBE was carried out for an optimized crystal structure of SrZrP4.

Cell: 5.385 5.385 5.385 Å, 60.00 60.00 60.00°
Element x y z (fractional)
P 0.370 0.370 0.370
P 0.890 0.370 0.370
P 0.370 0.890 0.370
P 0.370 0.370 0.890
Sr 0.750 0.750 0.750
Zr 0.000 0.000 0.000

Values from the calculation:
**Space-group type**: No. 216
**DOS at the Fermi energy**: 0.66 states/eV per atom
**ρ**: 4.6 g/cm3
**E_tot**: -5.277 eV/atom
**Energy of formation from the pure elements**: 0.0345 eV per atom

A plane-wave DFT calculation with GGA-PBE was carried out for an optimized crystal structure of SrZrP2.

Cell: 3.503 3.441 7.428 Å, 71.42 90.00 90.00°
Element x y z (fractional)
P 0.000 0.029 0.956
P 0.000 0.471 0.544
Sr 0.500 0.250 0.250
Zr 0.500 0.750 0.750

Values from the calculation:
**Relative energy among the computed polymorphs**: 1.42 eV/f.u.
**Space-group type**: No. 10
**DOS at the Fermi energy**: 0.42 states/eV per atom
**ρ**: 4.7 g/cm3
**E_tot**: -6.115 eV/atom
**Energy of formation from the pure elements**: -0.8529 eV per atom

Which value of E_tot does entry 5 give?
-5.277 eV/atom

Look up the energy of formation from the pure elements of the third one.
0.1894 eV per atom

ρ of number 5 (SrZrP4)?
4.6 g/cm3